# 1
This record from Alexandria via LeMat-Bulk describes ZrTa2Rh2 after structural relaxation. The functional is PBE.

Lattice parameters (Å, degrees): 7.717 7.717 2.968 90.00 90.00 90.00
Space group P4/mbm (No. 127)
Symmetry-distinct sites (fractional):
Zr  0.000  0.000  0.000 (multiplicity 2)
Ta  0.164  0.336  0.500 (multiplicity 4)
Rh  0.131  0.631  0.000 (multiplicity 4)

=====

# 2
This record from Alexandria via LeMat-Bulk describes Tb2Rh7 after structural relaxation. The functional is PBE.

Lattice parameters (Å, degrees): 5.2515 5.2515 39.4001 90.00 90.00 120.00
Space group R-3m (No. 166, hexagonal axes)
Symmetry-distinct sites (fractional):
Tb  0.0000  0.0000  0.0496 (multiplicity 6)
Tb  0.0000  0.0000  0.1471 (multiplicity 6)
Rh  0.0000  0.0000  0.2776 (multiplicity 6)
Rh  0.0000  0.0000  0.3893 (multiplicity 6)
Rh  0.0000  0.0000  0.5000 (multiplicity 3)
Rh  0.0000  0.5000  0.0000 (multiplicity 9)
Rh  0.0015  0.5007  0.8894 (multiplicity 18)

=====

# 3
This record from Alexandria via LeMat-Bulk describes Tb3Rh4 after structural relaxation. The functional is PBE.

Lattice parameters (Å, degrees): 4.6703 4.6703 23.3148 90.00 90.00 120.00
Space group R-3m (No. 166, hexagonal axes)
Symmetry-distinct sites (fractional):
Tb  0.0000  0.0000  0.0000 (multiplicity 3)
Tb  0.0000  0.0000  0.2386 (multiplicity 6)
Rh  0.0000  0.0000  0.1204 (multiplicity 6)
Rh  0.0000  0.0000  0.3754 (multiplicity 6)

=====

# 4
This record from Alexandria via LeMat-Bulk describes TbRh2 after structural relaxation. The functional is PBE.

Lattice parameters (Å, degrees): 7.561 7.561 7.561 90.00 90.00 90.00
Space group Fd-3m (No. 227, origin choice 2)
Symmetry-distinct sites (fractional):
Tb  0.125  0.125  0.125 (multiplicity 8)
Rh  0.000  0.000  0.500 (multiplicity 16)

=====

# 5
This record from Alexandria via LeMat-Bulk describes Tb5Rh3 after structural relaxation. The functional is PBE.

Lattice parameters (Å, degrees): 8.2719 8.2719 6.3566 90.00 90.00 120.00
Space group P6_3/mcm (No. 193)
Symmetry-distinct sites (fractional):
Tb  0.0000  0.2494  0.2500 (multiplicity 6)
Tb  0.3333  0.6667  0.0000 (multiplicity 4)
Rh  0.0000  0.3966  0.7500 (multiplicity 6)

=====

# 6
This record from Alexandria via LeMat-Bulk describes TbRh2 after structural relaxation. The functional is PBE.

Lattice parameters (Å, degrees): 3.460 3.460 9.102 90.00 90.00 90.00
Space group I4/mmm (No. 139)
Symmetry-distinct sites (fractional):
Tb  0.000  0.000  0.000 (multiplicity 2)
Rh  0.000  0.000  0.332 (multiplicity 4)

=====

# 7
This record from Alexandria via LeMat-Bulk describes TbRh5 after structural relaxation. The functional is PBE.

Lattice parameters (Å, degrees): 5.2353 5.2353 4.3287 90.00 90.00 120.00
Space group P6/mmm (No. 191)
Symmetry-distinct sites (fractional):
Tb  0.0000  0.0000  0.0000 (multiplicity 1)
Rh  0.0000  0.5000  0.5000 (multiplicity 3)
Rh  0.3333  0.6667  0.0000 (multiplicity 2)

=====

# 8
This record from Alexandria via LeMat-Bulk describes Tb4Rh3 after structural relaxation. The functional is PBE.

Lattice parameters (Å, degrees): 4.8314 4.8314 23.8488 90.00 90.00 120.00
Space group R-3m (No. 166, hexagonal axes)
Symmetry-distinct sites (fractional):
Tb  0.0000  0.0000  0.1243 (multiplicity 6)
Tb  0.0000  0.0000  0.3750 (multiplicity 6)
Rh  0.0000  0.0000  0.2495 (multiplicity 6)
Rh  0.0000  0.0000  0.5000 (multiplicity 3)

=====

# 9
This record from Alexandria via LeMat-Bulk describes Tb4Rh after structural relaxation. The functional is PBE.

Lattice parameters (Å, degrees): 10.784 10.784 10.784 90.00 90.00 90.00
Space group Fd-3m (No. 227, origin choice 2)
Symmetry-distinct sites (fractional):
Tb  0.014  0.014  0.236 (multiplicity 32)
Rh  0.125  0.125  0.625 (multiplicity 8)

=====

# 10
This record from Alexandria via LeMat-Bulk describes Tb4Rh after structural relaxation. The functional is PBE.

Lattice parameters (Å, degrees): 8.595 8.595 8.054 90.00 90.00 90.00
Space group I-42d (No. 122)
Symmetry-distinct sites (fractional):
Tb  0.022  0.199  0.335 (multiplicity 16)
Rh  0.000  0.000  0.000 (multiplicity 4)

=====

# 11
This record from Alexandria via LeMat-Bulk describes TbRh3 after structural relaxation. The functional is PBE.

Lattice parameters (Å, degrees): 4.090 4.090 8.022 90.00 90.00 90.00
Space group I4/mmm (No. 139)
Symmetry-distinct sites (fractional):
Tb  0.000  0.000  0.000 (multiplicity 2)
Rh  0.000  0.000  0.500 (multiplicity 2)
Rh  0.000  0.500  0.250 (multiplicity 4)

=====

# 12
This record from Alexandria via LeMat-Bulk describes Tb5Rh3 after structural relaxation. The functional is PBE.

Lattice parameters (Å, degrees): 10.947 10.947 6.376 90.00 90.00 90.00
Space group P4/ncc (No. 130, origin choice 2)
Symmetry-distinct sites (fractional):
Tb  0.041  0.161  0.119 (multiplicity 16)
Tb  0.250  0.750  0.000 (multiplicity 4)
Rh  0.096  0.596  0.750 (multiplicity 8)
Rh  0.250  0.250  0.375 (multiplicity 4)

=====

These records have magnetic moment values of 0.0; 0.0; 0.0; 0.0; 0.0; 0.0; 0.0; 0.0; 0.0; 1.5; 0.0; 0.0 μB per cell, in the order they appear.
These records have E_form values of -33.8; -47.0; -49.9; -72.0; -67.7; -32.3; -29.6; -73.6; 7.2; -33.6; -38.6; -70.7 kJ/mol of atoms, in the order they appear.
These records have E_tot values of -97.41; -390.65; -140.75; -172.58; -101.64; -40.67; -43.23; -137.74; -203.98; -110.45; -56.57; -204.28 eV/cell, in the order they appear.